First-principles (PBEsol) data for a relaxed SrBeOs2 crystal, as listed in the Alexandria database.

abc: 2.8834 4.7133 4.7374
angles: 90.00 90.00 90.00
Last column: nearest neighbours and their distance in Å.
Atoms (fractional coordinates):
Be: 0.0000 0.5000 0.5000  4 Sr 2.76, 4 Os 2.77, 2 Be 2.88
Os: 0.0000 0.0000 0.0000  6 Os 2.76-2.88, 4 Sr 2.77
Os: 0.5000 0.5000 0.0000  6 Os 2.76-2.88, 4 Be 2.77
Sr: 0.5000 0.0000 0.5000  4 Be 2.76, 4 Os 2.77, 2 Sr 2.88

DFT formation energy: 99.32 kJ per mole of atoms
space group: No. 47



First-principles (PBEsol) data for a relaxed SrBeOs2 crystal, as listed in the Alexandria database.

abc: 4.4991 4.4991 4.4991
angles: 60.00 60.00 60.00
Last column: nearest neighbours and their distance in Å.
Atoms (fractional coordinates):
Os: 0.0000 0.0000 0.0000  4 Be 2.76, 4 Os 2.76
Os: 0.2500 0.2500 0.2500  4 Os 2.76, 4 Sr 2.76
Sr: 0.5000 0.5000 0.5000  4 Os 2.76, 4 Be 2.76
Be: 0.7500 0.7500 0.7500  4 Os 2.76, 4 Sr 2.76

DFT formation energy: 95.07 kJ per mole of atoms
space group: No. 216



First-principles (PBEsol) data for a relaxed SrBeOs2 crystal, as listed in the Alexandria database.

abc: 2.7536 4.9133 5.4670
angles: 115.74 102.99 93.44
Last column: nearest neighbours and their distance in Å.
Atoms (fractional coordinates):
Sr: 0.5000 0.0000 0.0000  4 Be 2.74-2.89, 2 Sr 2.75, 4 Os 2.77
Os: 0.5000 0.5000 0.5000  6 Os 2.74-2.89, 2 Sr 2.77, 2 Be 2.77
Os: 0.0000 0.0000 0.5000  6 Os 2.74-2.89, 2 Be 2.77, 2 Sr 2.77
Be: 0.0000 0.5000 0.0000  4 Sr 2.74-2.89, 2 Be 2.75, 4 Os 2.77

DFT formation energy: 98.92 kJ per mole of atoms
space group: No. 12